# Li4Ti2Mn3V3O16, optimized geometry, DFT PBE with a Hubbard U
data_Li4Ti2Mn3V3O16
_chemical_formula_sum 'Li4 Ti2 Mn3 V3 O16'
_symmetry_space_group_name_H-M 'P 1'
_symmetry_Int_Tables_number 1
_cell_length_a 5.8691
_cell_length_b 6.0113
_cell_length_c 9.6171
_cell_angle_alpha 92.84
_cell_angle_beta 88.92
_cell_angle_gamma 118.67
loop_
_symmetry_equiv_pos_as_xyz
'x,y,z'
loop_
_atom_site_label
_atom_site_type_symbol
_atom_site_fract_x
_atom_site_fract_y
_atom_site_fract_z
Li1 Li 0.3533 0.6937 0.1028
Li2 Li 0.9878 0.9958 0.0077
Li3 Li 0.9937 0.9895 0.5072
Li4 Li 0.6725 0.3315 0.6003
Ti1 Ti 0.3298 0.6707 0.5026
Ti2 Ti 0.6470 0.3321 0.0030
Mn1 Mn 0.1569 0.3326 0.7909
Mn2 Mn 0.3436 0.1807 0.2873
Mn3 Mn 0.8322 0.1703 0.2902
V1 V 0.1688 0.8183 0.7800
V2 V 0.6532 0.8111 0.7831
V3 V 0.8411 0.6570 0.2759
O1 O 0.1619 0.8112 0.4059
O2 O 0.4780 0.9556 0.6575
O3 O 0.3325 0.6996 0.8971
O4 O 0.9957 0.9735 0.6954
O5 O 0.0006 0.9971 0.1974
O6 O 0.6590 0.8017 0.4056
O7 O 0.0455 0.5328 0.6503
O8 O 0.5042 0.5379 0.6632
O9 O 0.8256 0.6610 0.8981
O10 O 0.1610 0.3216 0.4107
O11 O 0.5380 0.5042 0.1501
O12 O 0.9777 0.5125 0.1573
O13 O 0.6725 0.3457 0.3901
O14 O 0.3322 0.1606 0.9136
O15 O 0.5326 0.0595 0.1615
O16 O 0.8026 0.1423 0.9074
# **Total moment**: 16.00 Bohr magnetons per cell
# **Crystal system**: triclinic
# **E_tot**: -7.425 eV per atom